1.
Compound: RbYVBr6
Source: the Alexandria database
Functional: PBE
Structure: relaxed

Lattice parameters (Å, degrees): 7.055 7.055 15.687 90.00 90.00 120.00
Fractional positions:
Rb: 0.000 0.000 0.000
Rb: 0.000 0.000 0.500
Y: 0.333 0.667 0.250
Y: 0.667 0.333 0.750
V: 0.333 0.667 0.750
V: 0.667 0.333 0.250
Br: 0.017 0.375 0.650
Br: 0.017 0.642 0.850
Br: 0.358 0.375 0.850
Br: 0.358 0.983 0.650
Br: 0.375 0.017 0.150
Br: 0.375 0.358 0.350
Br: 0.625 0.642 0.650
Br: 0.625 0.983 0.850
Br: 0.642 0.017 0.350
Br: 0.642 0.625 0.150
Br: 0.983 0.358 0.150
Br: 0.983 0.625 0.350

Properties
raw total energy: -40.1 eV/f.u.
SG: No. 163

=====

2.
Compound: Si2PBr
Source: the Alexandria database
Functional: PBE
Structure: relaxed

Lattice parameters (Å, degrees): 6.869 6.869 6.869 149.53 149.53 43.63
Fractional positions:
Si: 0.000 0.000 0.000
Si: 0.750 0.250 0.500
P: 0.500 0.500 0.000
Br: 0.250 0.750 0.500

Properties
polymorph energy (0 for the lowest one): 656 meV/atom
SG: No. 119

=====

Please write out number 1 again, unchanged.
Compound: RbYVBr6
Source: the Alexandria database
Functional: PBE
Structure: relaxed

Lattice parameters (Å, degrees): 7.055 7.055 15.687 90.00 90.00 120.00
Fractional positions:
Rb: 0.000 0.000 0.000
Rb: 0.000 0.000 0.500
Y: 0.333 0.667 0.250
Y: 0.667 0.333 0.750
V: 0.333 0.667 0.750
V: 0.667 0.333 0.250
Br: 0.017 0.375 0.650
Br: 0.017 0.642 0.850
Br: 0.358 0.375 0.850
Br: 0.358 0.983 0.650
Br: 0.375 0.017 0.150
Br: 0.375 0.358 0.350
Br: 0.625 0.642 0.650
Br: 0.625 0.983 0.850
Br: 0.642 0.017 0.350
Br: 0.642 0.625 0.150
Br: 0.983 0.358 0.150
Br: 0.983 0.625 0.350

Properties
raw total energy: -40.1 eV/f.u.
SG: No. 163